(a)
The following is a PBE-GGA calculation of a relaxed TaNb3I crystal, from the Alexandria database.

a b c (Å): 4.930 4.930 4.930
angles (deg): 90.00 90.00 90.00
Element x y z (fractional)
Nb: 0.000 0.000 0.500
Nb: 0.000 0.500 0.000
Nb: 0.500 0.000 0.000
Ta: 0.500 0.500 0.500
I: 0.000 0.000 0.000

Computed properties:
Symmetry ... Pm-3m, No. 221
Size of the total moment ... 0.00 μB per cell

---

(b)
The following is a PBE-GGA calculation of a relaxed TaNb3I crystal, from the Alexandria database.

a b c (Å): 5.000 5.000 5.000
angles (deg): 90.00 90.00 90.00
Element x y z (fractional)
Nb: 0.500 0.000 0.000
Nb: 0.000 0.500 0.000
Nb: 0.000 0.000 0.500
I: 0.500 0.500 0.500
Ta: 0.000 0.000 0.000

Computed properties:
Symmetry ... Pm-3m, No. 221
Size of the total moment ... 0.00 μB per cell

---

Stability check: which of them is most stable? (b).

---

(a)
The following is a PBE-GGA calculation of a relaxed NbTcI2 crystal, from the Alexandria database.

a b c (Å): 6.187 6.187 7.484
angles (deg): 65.58 65.58 90.00
Element x y z (fractional)
I: 0.644 0.125 0.250
I: 0.875 0.894 0.750
I: 0.375 0.356 0.750
I: 0.106 0.625 0.250
Nb: 0.500 0.500 0.000
Nb: 0.250 0.750 0.500
Tc: 0.750 0.250 0.500
Tc: 0.000 0.000 0.000

Computed properties:
Symmetry ... I-42d, No. 122
Size of the total moment ... 1.95 μB per cell

---

(b)
The following is a PBE-GGA calculation of a relaxed NbTcI2 crystal, from the Alexandria database.

a b c (Å): 4.822 4.822 4.822
angles (deg): 60.00 60.00 60.00
Element x y z (fractional)
Nb: 0.000 0.000 0.000
I: 0.750 0.750 0.750
I: 0.250 0.250 0.250
Tc: 0.500 0.500 0.500

Computed properties:
Symmetry ... Fm-3m, No. 225
Size of the total moment ... 0.00 μB per cell

---

Stability check: which of them is most stable? (b).

---

(a)
The following is a PBE-GGA calculation of a relaxed NbTc3I crystal, from the Alexandria database.

a b c (Å): 4.727 4.727 4.727
angles (deg): 90.00 90.00 90.00
Element x y z (fractional)
I: 0.000 0.000 0.000
Tc: 0.000 0.000 0.500
Tc: 0.500 0.000 0.000
Tc: 0.000 0.500 0.000
Nb: 0.500 0.500 0.500

Computed properties:
Symmetry ... Pm-3m, No. 221
Size of the total moment ... 0.01 μB per cell

---

(b)
The following is a PBE-GGA calculation of a relaxed NbTc3I crystal, from the Alexandria database.

a b c (Å): 4.896 4.896 4.896
angles (deg): 90.00 90.00 90.00
Element x y z (fractional)
Tc: 0.000 0.000 0.500
Tc: 0.000 0.500 0.000
Tc: 0.500 0.000 0.000
I: 0.500 0.500 0.500
Nb: 0.000 0.000 0.000

Computed properties:
Symmetry ... Pm-3m, No. 221
Size of the total moment ... 6.19 μB per cell

---

Stability check: which of them is most stable? (b).

---

(a)
The following is a PBE-GGA calculation of a relaxed Nb3TeI crystal, from the Alexandria database.

a b c (Å): 5.119 5.119 5.119
angles (deg): 90.00 90.00 90.00
Element x y z (fractional)
Te: 0.000 0.000 0.000
Nb: 0.000 0.000 0.500
Nb: 0.500 0.000 0.000
Nb: 0.000 0.500 0.000
I: 0.500 0.500 0.500

Computed properties:
Symmetry ... Pm-3m, No. 221
Size of the total moment ... 0.00 μB per cell

---

(b)
The following is a PBE-GGA calculation of a relaxed Nb3TeI crystal, from the Alexandria database.

a b c (Å): 5.059 5.059 5.059
angles (deg): 90.00 90.00 90.00
Element x y z (fractional)
Nb: 0.500 0.000 0.000
Nb: 0.000 0.500 0.000
Nb: 0.000 0.000 0.500
I: 0.000 0.000 0.000
Te: 0.500 0.500 0.500

Computed properties:
Symmetry ... Pm-3m, No. 221
Size of the total moment ... 0.00 μB per cell

---

Stability check: which of them is most stable? (a).

---

(a)
The following is a PBE-GGA calculation of a relaxed NbTe3I crystal, from the Alexandria database.

a b c (Å): 5.747 5.747 5.747
angles (deg): 90.00 90.00 90.00
Element x y z (fractional)
Te: 0.500 0.000 0.000
Te: 0.000 0.000 0.500
Te: 0.000 0.500 0.000
I: 0.000 0.000 0.000
Nb: 0.500 0.500 0.500

Computed properties:
Symmetry ... Pm-3m, No. 221
Size of the total moment ... 2.41 μB per cell

---

(b)
The following is a PBE-GGA calculation of a relaxed NbTe3I crystal, from the Alexandria database.

a b c (Å): 5.440 5.440 5.440
angles (deg): 90.00 90.00 90.00
Element x y z (fractional)
Te: 0.500 0.000 0.000
Te: 0.000 0.500 0.000
Te: 0.000 0.000 0.500
Nb: 0.000 0.000 0.000
I: 0.500 0.500 0.500

Computed properties:
Symmetry ... Pm-3m, No. 221
Size of the total moment ... 0.00 μB per cell

---

Stability check: which of them is most stable? (b).

---

(a)
The following is a PBE-GGA calculation of a relaxed Nb2TeI crystal, from the Alexandria database.

a b c (Å): 6.342 6.342 7.781
angles (deg): 65.95 65.95 90.00
Element x y z (fractional)
Nb: 0.375 0.379 0.750
Nb: 0.621 0.125 0.250
Nb: 0.129 0.625 0.250
Nb: 0.875 0.871 0.750
Te: 0.250 0.750 0.500
Te: 0.500 0.500 0.000
I: 0.000 0.000 0.000
I: 0.750 0.250 0.500

Computed properties:
Symmetry ... I-42d, No. 122
Size of the total moment ... 7.94 μB per cell

---

(b)
The following is a PBE-GGA calculation of a relaxed Nb2TeI crystal, from the Alexandria database.

a b c (Å): 4.870 4.870 4.870
angles (deg): 60.00 60.00 60.00
Element x y z (fractional)
Nb: 0.250 0.250 0.250
Nb: 0.750 0.750 0.750
Te: 0.000 0.000 0.000
I: 0.500 0.500 0.500

Computed properties:
Symmetry ... Fm-3m, No. 225
Size of the total moment ... 0.00 μB per cell

---

Stability check: which of them is most stable? (b).

---

(a)
The following is a PBE-GGA calculation of a relaxed NbZnTeI2 crystal, from the Alexandria database.

a b c (Å): 5.391 5.391 5.428
angles (deg): 90.00 90.00 90.00
Element x y z (fractional)
I: 0.500 0.000 0.000
I: 0.000 0.500 0.000
Nb: 0.500 0.500 0.500
Zn: 0.000 0.000 0.000
Te: 0.000 0.000 0.500

Computed properties:
Symmetry ... P4/mmm, No. 123
Size of the total moment ... 2.80 μB per cell

---

(b)
The following is a PBE-GGA calculation of a relaxed NbZnTeI2 crystal, from the Alexandria database.

a b c (Å): 5.680 5.680 5.393
angles (deg): 90.00 90.00 90.00
Element x y z (fractional)
Zn: 0.500 0.500 0.500
Te: 0.000 0.000 0.500
I: 0.500 0.000 0.000
I: 0.000 0.500 0.000
Nb: 0.000 0.000 0.000

Computed properties:
Symmetry ... P4/mmm, No. 123
Size of the total moment ... 0.00 μB per cell

---

Stability check: which of them is most stable? (b).

---

(a)
The following is a PBE-GGA calculation of a relaxed Ti2NbI crystal, from the Alexandria database.

a b c (Å): 4.705 4.705 4.705
angles (deg): 60.00 60.00 60.00
Element x y z (fractional)
Ti: 0.750 0.750 0.750
Ti: 0.250 0.250 0.250
Nb: 0.000 0.000 0.000
I: 0.500 0.500 0.500

Computed properties:
Symmetry ... Fm-3m, No. 225
Size of the total moment ... 0.00 μB per cell

---

(b)
The following is a PBE-GGA calculation of a relaxed Ti2NbI crystal, from the Alexandria database.

a b c (Å): 4.105 4.105 10.031
angles (deg): 78.19 78.19 90.00
Element x y z (fractional)
Ti: 0.875 0.877 0.750
Ti: 0.375 0.373 0.750
Ti: 0.123 0.625 0.250
Ti: 0.627 0.125 0.250
Nb: 0.500 0.500 0.000
Nb: 0.250 0.750 0.500
I: 0.000 0.000 0.000
I: 0.750 0.250 0.500

Computed properties:
Symmetry ... I-42d, No. 122
Size of the total moment ... 0.00 μB per cell

---

Stability check: which of them is most stable? (a).